No. 1
Computed, not measured: a geometry-optimized ZrCrGa structure at the PBE level of DFT.

As for the formation energy: 0.007 eV/atom.

Cell: 3.094 16.252 4.090 Å, 90.00 90.00 90.00°
Space group Cmcm (No. 63)
Unique sites:
Zr (0.000, 0.120, 0.250) (multiplicity 4)
Cr (0.000, 0.283, 0.250) (multiplicity 4)
Ga (0.000, 0.454, 0.250) (multiplicity 4)

=====

No. 2
Computed, not measured: a geometry-optimized RbPu2C2N6 structure at the PBE level of DFT.

The energy relative to the elements, uncorrected is -0.41 eV/atom.

Cell: 10.485 5.984 5.891 Å, 90.00 116.98 90.00°
Space group C2/m (No. 12)
Unique sites:
Rb (0.000, 0.000, 0.000) (multiplicity 2)
Pu (0.174, 0.500, 0.301) (multiplicity 4)
C (0.159, 0.500, 0.748) (multiplicity 4)
N (0.072, 0.500, 0.865) (multiplicity 4)
N (0.203, 0.308, 0.680) (multiplicity 8)

=====

No. 3
Computed, not measured: a geometry-optimized KLiWS4 structure at the PBE level of DFT.

The energy relative to the elements, uncorrected is -0.90 eV/atom.

Cell: 6.071 7.645 8.936 Å, 90.00 105.02 90.00°
Space group P2_1/m (No. 11)
Unique sites:
K (0.240, 0.250, 0.390) (multiplicity 2)
Li (0.202, 0.250, 0.832) (multiplicity 2)
W (0.311, 0.750, 0.207) (multiplicity 2)
S (0.047, 0.750, 0.987) (multiplicity 2)
S (0.140, 0.750, 0.399) (multiplicity 2)
S (0.466, 0.019, 0.776) (multiplicity 4)

=====

No. 4
Computed, not measured: a geometry-optimized NpCo2GeH structure at the PBE level of DFT.

The calculation puts the total DFT energy (no corrections) at -7.230 eV/atom.

Cell: 3.885 10.499 6.352 Å, 90.00 90.00 90.00°
Space group Cmcm (No. 63)
Unique sites:
Np (0.000, 0.082, 0.250) (multiplicity 4)
Co (0.000, 0.341, 0.042) (multiplicity 8)
Ge (0.000, 0.198, 0.750) (multiplicity 4)
H (0.000, 0.500, 0.000) (multiplicity 4)

=====

No. 5
Computed, not measured: a geometry-optimized Np3TaS2O6 structure at the PBE level of DFT.

The energy relative to the elements, uncorrected is -2.28 eV/atom.

Cell: 11.945 6.570 5.253 Å, 90.00 98.85 90.00°
Space group C2/m (No. 12)
Unique sites:
Np (0.000, 0.000, 0.000) (multiplicity 2)
Np (0.250, 0.250, 0.500) (multiplicity 4)
Ta (0.000, 0.500, 0.500) (multiplicity 2)
S (0.198, 0.000, 0.856) (multiplicity 4)
O (0.063, 0.266, 0.295) (multiplicity 8)
O (0.159, 0.500, 0.674) (multiplicity 4)

=====

No. 6
Computed, not measured: a geometry-optimized NaPm2Au structure at the PBE level of DFT.

As for the formation energy: -0.178 eV/atom. For the relative energy among the computed polymorphs, the calculation gives 72 meV per atom.

Cell: 5.270 5.270 3.922 Å, 90.00 90.00 90.00°
Space group P4/mmm (No. 123)
Unique sites:
Na (0.000, 0.000, 0.000) (multiplicity 1)
Pm (0.000, 0.500, 0.500) (multiplicity 2)
Au (0.500, 0.500, 0.000) (multiplicity 1)